LiMgPb2: optimized geometry, GGA-PBEsol.

DFT total energy ... -3.06 eV per atom
ΔH_f (0 K) ... -0.137 eV per atom
DOS at the Fermi energy ... 1.683 states/eV/cell

a b c (Å): 3.713 4.903 6.131
angles (deg): 113.57 107.63 90.00
Sites, in units of the cell vectors:
Pb 0.998 0.998 0.997
Pb 0.764 0.264 0.528
Mg 0.240 0.740 0.480
Li 0.497 0.497 0.994

ZrIr2Ru: optimized geometry, GGA-PBEsol.

DFT total energy ... -10.28 eV per atom
ΔH_f (0 K) ... -0.554 eV per atom
DOS at the Fermi energy ... 4.152 states/eV/cell

a b c (Å): 3.915 3.928 3.928
angles (deg): 90.00 90.00 90.00
Sites, in units of the cell vectors:
Ru 0.500 0.500 0.500
Ir 0.000 0.000 0.500
Ir 0.000 0.500 0.000
Zr 0.500 0.000 0.000

Na2V16Mo2O45: optimized geometry, GGA-PBEsol.

DFT total energy ... -8.68 eV per atom
Formation energy without anion corrections ... -2.267 eV/atom
DOS at the Fermi energy ... 9.969 states/eV/cell

a b c (Å): 9.404 9.418 10.596
angles (deg): 76.45 64.49 70.38
Sites, in units of the cell vectors:
Na 0.272 0.135 0.593
Na 0.068 0.531 0.405
V 0.327 0.522 0.589
V 0.653 0.187 0.587
V 0.990 0.850 0.585
V 0.684 0.485 0.415
V 0.010 0.150 0.415
V 0.349 0.820 0.409
V 0.071 0.368 0.892
V 0.403 0.031 0.893
V 0.733 0.700 0.890
V 0.936 0.635 0.102
V 0.267 0.302 0.103
V 0.602 0.969 0.104
V 0.957 0.917 0.880
V 0.624 0.250 0.880
V 0.293 0.588 0.885
V 0.372 0.743 0.117
Mo 0.040 0.074 0.118
Mo 0.701 0.413 0.117
O 0.402 0.648 0.731
O 0.738 0.311 0.730
O 0.070 0.982 0.729
O 0.584 0.355 0.280
O 0.924 0.013 0.280
O 0.262 0.682 0.273
O 0.778 0.796 0.056
O 0.107 0.459 0.056
O 0.442 0.128 0.057
O 0.217 0.201 0.952
O 0.557 0.871 0.938
O 0.884 0.532 0.947
O 0.259 0.430 0.529
O 0.569 0.109 0.532
O 0.929 0.753 0.525
O 0.770 0.564 0.468
O 0.081 0.242 0.474
O 0.410 0.918 0.468
O 0.332 0.666 0.003
O 0.659 0.330 0.004
O 0.996 0.994 0.003
O 0.479 0.620 0.427
O 0.807 0.281 0.421
O 0.140 0.949 0.422
O 0.531 0.392 0.581
O 0.858 0.050 0.576
O 0.197 0.722 0.576
O 0.414 0.391 0.927
O 0.750 0.057 0.923
O 0.082 0.723 0.925
O 0.582 0.612 0.072
O 0.915 0.274 0.074
O 0.254 0.939 0.074
O 0.058 0.298 0.776
O 0.369 0.981 0.778
O 0.712 0.636 0.776
O 0.966 0.689 0.218
O 0.280 0.369 0.222
O 0.627 0.033 0.216
O 0.217 0.477 0.780
O 0.548 0.146 0.780
O 0.886 0.808 0.777
O 0.781 0.523 0.223
O 0.113 0.188 0.224
O 0.450 0.856 0.220

SbMoSe2: optimized geometry, GGA-PBEsol.

DFT total energy ... -6.16 eV per atom
Formation energy without anion corrections ... -0.154 eV/atom
DOS at the Fermi energy ... 2.318 states/eV/cell

a b c (Å): 3.172 4.851 6.104
angles (deg): 105.40 90.00 109.09
Sites, in units of the cell vectors:
Mo 0.478 0.956 0.647
Sb 0.824 0.648 0.257
Se 0.015 0.029 0.978
Se 0.183 0.367 0.617

MnCu2W: optimized geometry, GGA-PBEsol.

DFT total energy ... -7.77 eV per atom
ΔH_f (0 K) ... 0.286 eV per atom
DOS at the Fermi energy ... 3.065 states/eV/cell

a b c (Å): 2.598 3.626 5.312
angles (deg): 90.00 90.00 90.00
Sites, in units of the cell vectors:
Cu 0.000 0.000 0.019
Cu 0.500 0.500 0.242
Mn 0.000 0.000 0.496
W 0.500 0.500 0.742

LaMgN2O: optimized geometry, GGA-PBEsol.

DFT total energy ... -5.75 eV per atom
Formation energy without anion corrections ... 0.122 eV/atom
DOS at the Fermi energy ... 3.677 states/eV/cell

a b c (Å): 4.321 4.321 4.336
angles (deg): 90.00 90.00 90.00
Sites, in units of the cell vectors:
Mg 0.500 0.500 0.500
N 0.000 0.500 0.000
N 0.500 0.000 0.000
O 0.000 0.000 0.500
La 0.000 0.000 0.000

ReIrBr2: optimized geometry, GGA-PBEsol.

DFT total energy ... -6.32 eV per atom
Formation energy without anion corrections ... 0.406 eV/atom
DOS at the Fermi energy ... 2.380 states/eV/cell

a b c (Å): 3.010 3.010 8.444
angles (deg): 90.00 90.00 90.00
Sites, in units of the cell vectors:
Re 0.500 0.500 0.717
Ir 0.000 0.000 0.541
Br 0.000 0.000 0.932
Br 0.500 0.500 0.310

ZrAlAs3: optimized geometry, GGA-PBEsol.

DFT total energy ... -5.31 eV per atom
ΔH_f (0 K) ... 0.391 eV per atom
DOS at the Fermi energy ... 4.393 states/eV/cell

a b c (Å): 4.728 4.728 4.728
angles (deg): 90.00 90.00 90.00
Sites, in units of the cell vectors:
As 0.000 0.500 0.000
As 0.000 0.000 0.500
As 0.500 0.000 0.000
Al 0.000 0.000 0.000
Zr 0.500 0.500 0.500

Ho2AlZn: optimized geometry, GGA-PBEsol.

DFT total energy ... -4.27 eV per atom
ΔH_f (0 K) ... -0.379 eV per atom
DOS at the Fermi energy ... 2.642 states/eV/cell

a b c (Å): 4.977 4.977 4.977
angles (deg): 60.00 60.00 60.00
Sites, in units of the cell vectors:
Zn 0.000 0.000 0.000
Ho 0.250 0.250 0.250
Ho 0.750 0.750 0.750
Al 0.500 0.500 0.500

MgRe2Mo: optimized geometry, GGA-PBEsol.

DFT total energy ... -9.74 eV per atom
ΔH_f (0 K) ... 0.301 eV per atom
DOS at the Fermi energy ... 2.758 states/eV/cell

a b c (Å): 2.792 2.792 8.088
angles (deg): 90.00 90.00 90.00
Sites, in units of the cell vectors:
Mg 0.000 0.000 0.491
Mo 0.500 0.500 0.770
Re 0.000 0.000 0.010
Re 0.500 0.500 0.229

La2SbRh2: optimized geometry, GGA-PBEsol.

DFT total energy ... -7.13 eV per atom
Formation energy without anion corrections ... -0.829 eV/atom
DOS at the Fermi energy ... 6.776 states/eV/cell

a b c (Å): 3.991 7.478 7.478
angles (deg): 90.00 90.00 90.00
Sites, in units of the cell vectors:
Sb 0.000 0.000 0.000
Sb 0.000 0.500 0.500
Rh 0.000 0.366 0.866
Rh 0.000 0.866 0.634
Rh 0.000 0.634 0.134
Rh 0.000 0.134 0.366
La 0.500 0.175 0.675
La 0.500 0.675 0.825
La 0.500 0.825 0.325
La 0.500 0.325 0.175

KNaBr2: optimized geometry, GGA-PBEsol.

DFT total energy ... -3.12 eV per atom
Formation energy without anion corrections ... -1.551 eV/atom
DOS at the Fermi energy ... 0.000 states/eV/cell

a b c (Å): 7.098 7.098 7.098
angles (deg): 103.42 112.58 112.58
Sites, in units of the cell vectors:
Na 0.000 0.500 0.500
Na 0.500 0.250 0.750
K 0.000 0.000 0.000
K 0.500 0.750 0.250
Br 0.965 0.590 0.125
Br 0.035 0.160 0.625
Br 0.535 0.375 0.410
Br 0.465 0.875 0.840